! PBE KSiAuSeS2, optimized geometry; values from VASP
&SYSTEM
  ibrav = 0, nat = 12, ntyp = 5
/
ATOMIC_SPECIES
K 39.10 K.upf
Si 28.09 Si.upf
Au 196.97 Au.upf
Se 78.96 Se.upf
S 32.06 S.upf
CELL_PARAMETERS angstrom
1.732 -8.192 0.000
1.732 8.192 0.000
0.000 0.000 9.957
ATOMIC_POSITIONS angstrom
K 1.732 4.723 7.468
K 1.732 -4.723 2.489
Si 1.732 0.000 0.000
Si 1.732 0.000 4.979
Au 1.732 6.309 2.489
Au 1.732 -6.309 7.468
Se 1.732 0.711 2.489
Se 1.732 -0.711 7.468
S 1.732 6.540 0.184
S 1.732 6.540 4.794
S 1.732 -6.540 5.163
S 1.732 -6.540 9.773
! - symmetry = Cmcm, No. 63
! - final energy (Ha/atom) = -0.1468

=====

! PBE KSnAuSeS2, optimized geometry; values from VASP
&SYSTEM
  ibrav = 0, nat = 12, ntyp = 5
/
ATOMIC_SPECIES
K 39.10 K.upf
Sn 118.71 Sn.upf
Au 196.97 Au.upf
Se 78.96 Se.upf
S 32.06 S.upf
CELL_PARAMETERS angstrom
1.949 -8.164 0.000
1.949 8.164 0.000
0.000 0.000 10.360
ATOMIC_POSITIONS angstrom
K 1.949 4.631 7.770
K 1.949 -4.631 2.590
Sn 1.949 0.000 0.000
Sn 1.949 0.000 5.180
Au 1.949 6.263 2.590
Au 1.949 -6.263 7.770
Se 1.949 0.901 2.590
Se 1.949 -0.901 7.770
S 1.949 6.332 0.283
S 1.949 6.332 4.896
S 1.949 -6.332 5.463
S 1.949 -6.332 10.076
! - symmetry = Cmcm, No. 63
! - final energy (Ha/atom) = -0.1409

=====

! PBE KSnAuSe2S, optimized geometry; values from VASP
&SYSTEM
  ibrav = 0, nat = 12, ntyp = 5
/
ATOMIC_SPECIES
K 39.10 K.upf
Sn 118.71 Sn.upf
Au 196.97 Au.upf
Se 78.96 Se.upf
S 32.06 S.upf
CELL_PARAMETERS angstrom
2.015 -8.047 0.000
2.015 8.047 0.000
0.000 0.000 10.421
ATOMIC_POSITIONS angstrom
K 2.015 4.636 7.816
K 2.015 -4.636 2.605
Sn 2.015 0.000 0.000
Sn 2.015 0.000 5.210
Au 2.015 6.121 2.605
Au 2.015 -6.121 7.816
Se 2.015 6.125 0.193
Se 2.015 6.125 5.018
Se 2.015 -6.125 5.403
Se 2.015 -6.125 10.228
S 2.015 0.760 2.605
S 2.015 -0.760 7.816
! - symmetry = Cmcm, No. 63
! - final energy (Ha/atom) = -0.1357

=====

! PBE KTcAuSeS2, optimized geometry; values from VASP
&SYSTEM
  ibrav = 0, nat = 12, ntyp = 5
/
ATOMIC_SPECIES
K 39.10 K.upf
Tc 98.00 Tc.upf
Au 196.97 Au.upf
Se 78.96 Se.upf
S 32.06 S.upf
CELL_PARAMETERS angstrom
1.801 -8.116 0.000
1.801 8.116 0.000
0.000 0.000 9.990
ATOMIC_POSITIONS angstrom
K 1.801 4.532 7.493
K 1.801 -4.532 2.498
Tc 1.801 0.000 0.000
Tc 1.801 0.000 4.995
Au 1.801 6.345 2.498
Au 1.801 -6.345 7.493
Se 1.801 0.808 2.498
Se 1.801 -0.808 7.493
S 1.801 6.424 0.177
S 1.801 6.424 4.818
S 1.801 -6.424 5.172
S 1.801 -6.424 9.813
! - symmetry = Cmcm, No. 63
! - final energy (Ha/atom) = -0.1747

=====

! PBE KWAuSeS2, optimized geometry; values from VASP
&SYSTEM
  ibrav = 0, nat = 12, ntyp = 5
/
ATOMIC_SPECIES
K 39.10 K.upf
W 183.84 W.upf
Au 196.97 Au.upf
Se 78.96 Se.upf
S 32.06 S.upf
CELL_PARAMETERS angstrom
1.722 -8.339 0.000
1.722 8.339 0.000
0.000 0.000 10.072
ATOMIC_POSITIONS angstrom
K 1.722 4.766 7.554
K 1.722 -4.766 2.518
W 1.722 0.000 0.000
W 1.722 0.000 5.036
Au 1.722 6.355 2.518
Au 1.722 -6.355 7.554
Se 1.722 0.757 2.518
Se 1.722 -0.757 7.554
S 1.722 6.556 0.199
S 1.722 6.556 4.837
S 1.722 -6.556 5.235
S 1.722 -6.556 9.873
! - symmetry = Cmcm, No. 63
! - final energy (Ha/atom) = -0.1900

=====

! PBE KZrAuSe2S, optimized geometry; values from VASP
&SYSTEM
  ibrav = 0, nat = 12, ntyp = 5
/
ATOMIC_SPECIES
K 39.10 K.upf
Zr 91.22 Zr.upf
Au 196.97 Au.upf
Se 78.96 Se.upf
S 32.06 S.upf
CELL_PARAMETERS angstrom
1.976 -7.411 0.000
1.976 7.411 0.000
0.000 0.000 10.207
ATOMIC_POSITIONS angstrom
K 1.976 3.761 7.655
K 1.976 -3.761 2.552
Zr 1.976 0.000 0.000
Zr 1.976 0.000 5.104
Au 1.976 6.740 2.552
Au 1.976 -6.740 7.655
Se 1.976 5.503 0.316
Se 1.976 5.503 4.787
Se 1.976 -5.503 5.420
Se 1.976 -5.503 9.891
S 1.976 0.939 2.552
S 1.976 -0.939 7.655
! - symmetry = Cmcm, No. 63
! - final energy (Ha/atom) = -0.1847

=====

! PBE KSiAuS3, optimized geometry; values from VASP
&SYSTEM
  ibrav = 0, nat = 12, ntyp = 4
/
ATOMIC_SPECIES
K 39.10 K.upf
Si 28.09 Si.upf
Au 196.97 Au.upf
S 32.06 S.upf
CELL_PARAMETERS angstrom
1.720 -8.069 0.000
1.720 8.069 0.000
0.000 0.000 9.656
ATOMIC_POSITIONS angstrom
K 1.720 4.726 7.242
K 1.720 -4.726 2.414
Si 1.720 0.000 0.000
Si 1.720 0.000 4.828
Au 1.720 6.181 2.414
Au 1.720 -6.181 7.242
S 1.720 6.437 0.127
S 1.720 6.437 4.701
S 1.720 0.626 2.414
S 1.720 -0.626 7.242
S 1.720 -6.437 4.955
S 1.720 -6.437 9.529
! - symmetry = Cmcm, No. 63
! - final energy (Ha/atom) = -0.1506

=====

! PBE KSiTeAuS2, optimized geometry; values from VASP
&SYSTEM
  ibrav = 0, nat = 12, ntyp = 5
/
ATOMIC_SPECIES
K 39.10 K.upf
Si 28.09 Si.upf
Te 127.60 Te.upf
Au 196.97 Au.upf
S 32.06 S.upf
CELL_PARAMETERS angstrom
1.733 -8.414 0.000
1.733 8.414 0.000
0.000 0.000 10.578
ATOMIC_POSITIONS angstrom
K 1.733 4.577 7.933
K 1.733 -4.577 2.644
Si 1.733 0.000 0.000
Si 1.733 0.000 5.289
Te 1.733 0.880 2.644
Te 1.733 -0.880 7.933
Au 1.733 6.611 2.644
Au 1.733 -6.611 7.933
S 1.733 6.743 0.314
S 1.733 6.743 4.975
S 1.733 -6.743 5.603
S 1.733 -6.743 10.263
! - symmetry = Cmcm, No. 63
! - final energy (Ha/atom) = -0.1427

=====

! PBE KSiTe2AuS, optimized geometry; values from VASP
&SYSTEM
  ibrav = 0, nat = 12, ntyp = 5
/
ATOMIC_SPECIES
K 39.10 K.upf
Si 28.09 Si.upf
Te 127.60 Te.upf
Au 196.97 Au.upf
S 32.06 S.upf
CELL_PARAMETERS angstrom
1.939 -7.579 0.000
1.939 7.579 0.000
0.000 0.000 11.034
ATOMIC_POSITIONS angstrom
K 1.939 4.067 8.276
K 1.939 -4.067 2.759
Si 1.939 0.000 0.000
Si 1.939 0.000 5.517
Te 1.939 5.647 0.221
Te 1.939 5.647 5.297
Te 1.939 -5.647 5.738
Te 1.939 -5.647 10.814
Au 1.939 6.509 2.759
Au 1.939 -6.509 8.276
S 1.939 0.597 2.759
S 1.939 -0.597 8.276
! - symmetry = Cmcm, No. 63
! - final energy (Ha/atom) = -0.1293

=====

! PBE KTaTeAuS2, optimized geometry; values from VASP
&SYSTEM
  ibrav = 0, nat = 12, ntyp = 5
/
ATOMIC_SPECIES
K 39.10 K.upf
Ta 180.95 Ta.upf
Te 127.60 Te.upf
Au 196.97 Au.upf
S 32.06 S.upf
CELL_PARAMETERS angstrom
1.804 -8.154 0.000
1.804 8.154 0.000
0.000 0.000 10.277
ATOMIC_POSITIONS angstrom
K 1.804 4.582 7.708
K 1.804 -4.582 2.569
Ta 0.000 0.000 0.000
Ta 0.000 0.000 5.138
Te 1.804 6.636 2.569
Te 1.804 -6.636 7.708
Au 1.804 0.682 2.569
Au 1.804 -0.682 7.708
S 1.804 1.729 0.407
S 1.804 1.729 4.731
S 1.804 -1.729 5.546
S 1.804 -1.729 9.870
! - symmetry = Cmcm, No. 63
! - final energy (Ha/atom) = -0.1900

=====

! PBE KTbAu3S4, optimized geometry; values from VASP
&SYSTEM
  ibrav = 0, nat = 9, ntyp = 4
/
ATOMIC_SPECIES
K 39.10 K.upf
Tb 158.93 Tb.upf
Au 196.97 Au.upf
S 32.06 S.upf
CELL_PARAMETERS angstrom
6.313 0.000 0.000
0.000 6.313 0.000
0.000 0.000 6.313
ATOMIC_POSITIONS angstrom
K 0.000 0.000 0.000
Tb 3.156 3.156 3.156
Au 0.000 3.156 3.156
Au 3.156 0.000 3.156
Au 3.156 3.156 0.000
S 1.689 1.689 1.689
S 1.689 4.623 4.623
S 4.623 1.689 4.623
S 4.623 4.623 1.689
! - ΔE to the lowest computed polymorph (meV/atom) = 95
! - symmetry = P-43m, No. 215

=====

! PBE KTbAuS3, optimized geometry; values from VASP
&SYSTEM
  ibrav = 0, nat = 12, ntyp = 4
/
ATOMIC_SPECIES
K 39.10 K.upf
Tb 158.93 Tb.upf
Au 196.97 Au.upf
S 32.06 S.upf
CELL_PARAMETERS angstrom
2.002 -7.274 0.000
2.002 7.274 0.000
0.000 0.000 10.400
ATOMIC_POSITIONS angstrom
K 2.002 3.636 7.800
K 2.002 -3.636 2.600
Tb 0.000 0.000 0.000
Tb 0.000 0.000 5.200
Au 2.002 0.491 2.600
Au 2.002 -0.491 7.800
S 2.002 6.210 2.600
S 2.002 1.851 0.552
S 2.002 1.851 4.648
S 2.002 -1.851 5.752
S 2.002 -1.851 9.848
S 2.002 -6.210 7.800
! - symmetry = Cmcm, No. 63
! - final energy (Ha/atom) = -0.1726

=====

! PBE KTbAu3S4, optimized geometry; values from VASP
&SYSTEM
  ibrav = 0, nat = 18, ntyp = 4
/
ATOMIC_SPECIES
K 39.10 K.upf
Tb 158.93 Tb.upf
Au 196.97 Au.upf
S 32.06 S.upf
CELL_PARAMETERS angstrom
5.777 0.000 0.000
0.000 7.543 0.000
-2.619 0.000 10.642
ATOMIC_POSITIONS angstrom
K 0.400 1.886 3.993
K 2.759 5.657 6.650
Tb -1.454 1.886 8.603
Tb 4.613 5.657 2.040
Au 1.585 4.248 0.564
Au 1.585 7.067 0.564
Au 1.729 5.657 3.362
Au 1.429 1.886 7.280
Au 1.573 0.477 10.079
Au 1.573 3.295 10.079
S 0.113 1.886 0.578
S -0.287 5.657 4.546
S 0.183 3.897 8.203
S 0.183 7.418 8.203
S 2.976 0.125 2.440
S 2.976 3.646 2.440
S 3.445 1.886 6.096
S 3.046 5.657 10.064
! - ΔE to the lowest computed polymorph (meV/atom) = 0
! - symmetry = P2_1/m, No. 11

=====

! PBE KTcTeAuS2, optimized geometry; values from VASP
&SYSTEM
  ibrav = 0, nat = 12, ntyp = 5
/
ATOMIC_SPECIES
K 39.10 K.upf
Tc 98.00 Tc.upf
Te 127.60 Te.upf
Au 196.97 Au.upf
S 32.06 S.upf
CELL_PARAMETERS angstrom
1.794 -8.353 0.000
1.794 8.353 0.000
0.000 0.000 10.432
ATOMIC_POSITIONS angstrom
K 1.794 4.354 7.824
K 1.794 -4.354 2.608
Tc 1.794 0.000 0.000
Tc 1.794 0.000 5.216
Te 1.794 1.023 2.608
Te 1.794 -1.023 7.824
Au 1.794 6.706 2.608
Au 1.794 -6.706 7.824
S 1.794 6.672 0.267
S 1.794 6.672 4.949
S 1.794 -6.672 5.482
S 1.794 -6.672 10.165
! - symmetry = Cmcm, No. 63
! - final energy (Ha/atom) = -0.1714

=====

! PBE KTeWAuS2, optimized geometry; values from VASP
&SYSTEM
  ibrav = 0, nat = 12, ntyp = 5
/
ATOMIC_SPECIES
K 39.10 K.upf
Te 127.60 Te.upf
W 183.84 W.upf
Au 196.97 Au.upf
S 32.06 S.upf
CELL_PARAMETERS angstrom
1.889 -7.954 0.000
1.889 7.954 0.000
0.000 0.000 10.386
ATOMIC_POSITIONS angstrom
K 1.889 4.244 7.790
K 1.889 -4.244 2.597
Te 1.889 6.683 2.597
Te 1.889 -6.683 7.790
W 0.000 0.000 0.000
W 0.000 0.000 5.193
Au 1.889 1.000 2.597
Au 1.889 -1.000 7.790
S 1.889 1.615 0.306
S 1.889 1.615 4.887
S 1.889 -1.615 5.500
S 1.889 -1.615 10.080
! - symmetry = Cmcm, No. 63
! - final energy (Ha/atom) = -0.1845

=====

! PBE KThAuS3, optimized geometry; values from VASP
&SYSTEM
  ibrav = 0, nat = 12, ntyp = 4
/
ATOMIC_SPECIES
K 39.10 K.upf
Th 232.04 Th.upf
Au 196.97 Au.upf
S 32.06 S.upf
CELL_PARAMETERS angstrom
2.084 -7.130 0.000
2.084 7.130 0.000
0.000 0.000 10.625
ATOMIC_POSITIONS angstrom
K 2.084 3.604 7.969
K 2.084 -3.604 2.656
Th 2.084 0.000 0.000
Th 2.084 0.000 5.313
Au 2.084 6.565 2.656
Au 2.084 -6.565 7.969
S 2.084 5.307 0.521
S 2.084 5.307 4.792
S 2.084 1.016 2.656
S 2.084 -1.016 7.969
S 2.084 -5.307 5.834
S 2.084 -5.307 10.104
! - symmetry = Cmcm, No. 63
! - final energy (Ha/atom) = -0.1986

=====

! PBE KWAu3S4, optimized geometry; values from VASP
&SYSTEM
  ibrav = 0, nat = 9, ntyp = 4
/
ATOMIC_SPECIES
K 39.10 K.upf
W 183.84 W.upf
Au 196.97 Au.upf
S 32.06 S.upf
CELL_PARAMETERS angstrom
6.232 0.000 0.000
0.000 6.232 0.000
0.000 0.000 6.232
ATOMIC_POSITIONS angstrom
K 0.000 0.000 0.000
W 3.116 3.116 3.116
Au 0.000 3.116 3.116
Au 3.116 0.000 3.116
Au 3.116 3.116 0.000
S 1.780 1.780 1.780
S 1.780 4.452 4.452
S 4.452 1.780 4.452
S 4.452 4.452 1.780
! - symmetry = P-43m, No. 215
! - final energy (Ha/atom) = -0.1702

=====

! PBE KWAuS3, optimized geometry; values from VASP
&SYSTEM
  ibrav = 0, nat = 12, ntyp = 4
/
ATOMIC_SPECIES
K 39.10 K.upf
W 183.84 W.upf
Au 196.97 Au.upf
S 32.06 S.upf
CELL_PARAMETERS angstrom
1.717 -8.597 0.000
1.717 8.597 0.000
0.000 0.000 9.443
ATOMIC_POSITIONS angstrom
K 1.717 5.109 7.082
K 1.717 -5.109 2.361
W 1.717 0.000 0.000
W 1.717 0.000 4.722
Au 1.717 6.265 2.361
Au 1.717 -6.265 7.082
S 1.717 6.779 0.108
S 1.717 6.779 4.613
S 1.717 0.316 2.361
S 1.717 -0.316 7.082
S 1.717 -6.779 4.830
S 1.717 -6.779 9.335
! - symmetry = Cmcm, No. 63
! - final energy (Ha/atom) = -0.1953

=====

! PBE KZrAu3S4, optimized geometry; values from VASP
&SYSTEM
  ibrav = 0, nat = 18, ntyp = 4
/
ATOMIC_SPECIES
K 39.10 K.upf
Zr 91.22 Zr.upf
Au 196.97 Au.upf
S 32.06 S.upf
CELL_PARAMETERS angstrom
6.126 0.000 0.000
0.000 7.702 0.000
-2.874 0.000 9.627
ATOMIC_POSITIONS angstrom
K 0.234 1.925 3.630
K 3.018 5.776 5.997
Zr -1.506 1.925 7.685
Zr 4.758 5.776 1.942
Au 1.736 4.311 0.128
Au 1.736 7.242 0.128
Au 1.767 5.776 2.653
Au 1.485 1.925 6.974
Au 1.516 0.460 9.499
Au 1.516 3.391 9.499
S 0.315 1.925 0.351
S -0.147 5.776 4.049
S -0.082 3.912 7.377
S -0.082 7.641 7.377
S 3.334 0.061 2.250
S 3.334 3.790 2.250
S 3.399 1.925 5.578
S 2.937 5.776 9.276
! - ΔE to the lowest computed polymorph (meV/atom) = 40
! - symmetry = P2_1/m, No. 11

=====

! PBE KZrAu3S4, optimized geometry; values from VASP
&SYSTEM
  ibrav = 0, nat = 9, ntyp = 4
/
ATOMIC_SPECIES
K 39.10 K.upf
Zr 91.22 Zr.upf
Au 196.97 Au.upf
S 32.06 S.upf
CELL_PARAMETERS angstrom
6.219 0.000 0.000
0.000 6.219 0.000
0.000 0.000 6.219
ATOMIC_POSITIONS angstrom
K 0.000 0.000 0.000
Zr 3.110 3.110 3.110
Au 0.000 3.110 3.110
Au 3.110 0.000 3.110
Au 3.110 3.110 0.000
S 1.707 1.707 1.707
S 1.707 4.512 4.512
S 4.512 1.707 4.512
S 4.512 4.512 1.707
! - ΔE to the lowest computed polymorph (meV/atom) = 0
! - symmetry = P-43m, No. 215